Computed, not measured: crystalline CdSi2Ni at its relaxed geometry at the PBE-GGA level of DFT.

```
4
Lattice="4.0257 -0.0002 0.0127 2.8815 2.8113 0.0127 1.3988 0.5693 5.8275" Properties=species:S:1:pos:R:3 pbc="T T T"
Cd 6.2296 2.5353 4.3897
Ni 2.0765 0.8451 1.4632
Si 6.9274 2.8193 0.5067
Si 4.1329 1.6820 2.4452
```

Values from the calculation:
The value obtained for the total moment is 0.00 μB/atom. The value obtained for the total energy is -17.365 eV per cell. As for the density of states at the Fermi level: 1.325 states/eV/cell. As for the space-group type: C2/m, No. 12. As for the uncorrected formation energy: 0.044 eV/atom.

---

Computed, not measured: crystalline NpAg2Se4 at its relaxed geometry at the PBE-GGA level of DFT.

```
14
Lattice="-7.5500 -3.1692 -2.7854 -0.6967 -5.2249 -5.5948 -3.0720 -6.6154 2.4259" Properties=species:S:1:pos:R:3 pbc="T T T"
Ag -2.6292 -5.9215 0.4361
Np -0.3484 -2.6124 -2.7974
Se -6.4550 -8.0983 -5.5569
Se -7.9065 -8.1884 -1.5198
Se -3.4122 -6.8211 -4.4344
Se -6.6679 -4.9422 -3.1590
Np -4.1233 -4.1970 -4.1901
Se -4.8638 -6.9112 -0.3973
Ag -8.6896 -9.0879 -6.3903
Ag -3.7750 -1.5846 -1.3927
Se -4.6508 -10.0672 -2.7952
Ag -5.6594 -7.5047 -2.9771
Se -8.7258 -10.9639 -4.1574
Se -2.5929 -4.0455 -1.7968
```

Values from the calculation:
As for the relative energy among the computed polymorphs: 0.0 meV per atom. The value obtained for the total moment is 0.30 μB/atom. The value obtained for the total energy is -71.620 eV per cell. As for the density of states at the Fermi level: 17.397 states/eV/cell. As for the space-group type: Imma, No. 74. As for the uncorrected formation energy: -0.461 eV/atom.

---

Computed, not measured: crystalline YMgAsBr2 at its relaxed geometry at the PBE-GGA level of DFT.

```
5
Lattice="5.4347 0.0000 0.0000 0.0000 5.8033 0.0000 0.0000 0.0000 5.4347" Properties=species:S:1:pos:R:3 pbc="T T T"
Br 0.0000 0.0000 2.7173
Y 0.0000 0.0000 0.0000
Mg 2.7173 2.9016 2.7173
As 0.0000 2.9016 0.0000
Br 2.7173 0.0000 0.0000
```

Values from the calculation:
As for the relative energy among the computed polymorphs: 0.0 meV per atom. The value obtained for the total moment is 0.00 μB/atom. The value obtained for the total energy is -19.439 eV per cell. As for the density of states at the Fermi level: 1.432 states/eV/cell. As for the space-group type: P4/mmm, No. 123. As for the uncorrected formation energy: -0.677 eV/atom.

---

Computed, not measured: crystalline RbCdAg3C6N6 at its relaxed geometry at the PBE-GGA level of DFT.

```
17
Lattice="3.6940 -6.3982 0.0000 3.6940 6.3982 0.0000 0.0000 0.0000 8.1743" Properties=species:S:1:pos:R:3 pbc="T T T"
N 4.6360 4.7574 1.4190
N 1.8920 0.0046 6.7553
Rb 3.6940 2.1327 0.0000
N 5.4960 0.0046 1.4190
C 4.8737 -4.1339 2.3816
N 6.4381 1.6362 6.7553
C 6.0169 -2.1538 5.7926
C 2.5144 -4.1339 5.7926
C 4.8373 -0.1106 2.3816
Ag 3.6940 -0.2284 4.0871
N 0.9500 1.6362 1.4190
C 2.5508 -0.1106 5.7926
Ag 2.0448 -3.0849 4.0871
Ag 5.3432 -3.0849 4.0871
C 1.3711 -2.1538 2.3816
N 2.7520 4.7574 6.7553
Cd 0.0000 0.0000 0.0000
```

Values from the calculation:
The value obtained for the total moment is 0.00 μB/atom. The value obtained for the total energy is -111.548 eV per cell. As for the density of states at the Fermi level: 0.000 states/eV/cell. As for the space-group type: P312, No. 149. As for the uncorrected formation energy: 0.246 eV/atom.

---

Computed, not measured: crystalline Y2Ho2Zn3 at its relaxed geometry at the PBE-GGA level of DFT.

```
7
Lattice="4.8124 -0.0094 -1.3404 -2.6004 4.2783 0.0014 -0.1909 -0.1076 8.5864" Properties=species:S:1:pos:R:3 pbc="T T T"
Ho 2.6319 1.5960 0.1305
Zn 0.0000 0.0000 0.0000
Y 0.8229 0.4992 2.9209
Zn 0.3958 3.1697 1.4166
Zn 1.6253 0.9917 5.8307
Y 1.1982 3.6622 4.3265
Ho -0.6108 2.5654 7.1168
```

Values from the calculation:
The value obtained for the formation energy is -0.20 eV per atom. The value obtained for the total moment is 0.00 μB/atom. The value obtained for the total energy is -27.337 eV per cell. As for the density of states at the Fermi level: 8.882 states/eV/cell. As for the space-group type: C2/m, No. 12.

---

Computed, not measured: crystalline Sm2AuCl at its relaxed geometry at the PBE-GGA level of DFT.

```
4
Lattice="4.0681 0.0000 0.0000 2.0341 3.5231 0.0000 2.0341 1.1744 7.7551" Properties=species:S:1:pos:R:3 pbc="T T T"
Sm 2.0341 1.1744 6.0003
Au 6.1022 3.5231 7.7239
Sm 2.0341 1.1744 1.7242
Cl 4.0681 2.3487 3.9394
```

Values from the calculation:
As for the relative energy among the computed polymorphs: 50.2 meV per atom. The value obtained for the total moment is 0.00 μB/atom. The value obtained for the total energy is -18.633 eV per cell. As for the density of states at the Fermi level: 1.774 states/eV/cell. As for the space-group type: R3m, No. 160. As for the uncorrected formation energy: -1.018 eV/atom.

---

Computed, not measured: crystalline V2ReBrCl at its relaxed geometry at the PBE-GGA level of DFT.

```
5
Lattice="-0.7892 0.0452 -4.1499 5.2511 -1.3765 -1.0137 -1.0427 -4.0909 0.1537" Properties=species:S:1:pos:R:3 pbc="T T T"
Br 2.6256 -0.6883 -0.5068
Re 1.7096 -2.7111 -2.5049
V -0.5214 -2.0455 0.0769
V -0.3946 0.0226 -2.0750
Cl 0.0000 0.0000 0.0000
```

Values from the calculation:
The value obtained for the total moment is 1.07 μB/atom. The value obtained for the total energy is -26.207 eV per cell. As for the density of states at the Fermi level: 4.779 states/eV/cell. As for the space-group type: P4/mmm, No. 123. As for the uncorrected formation energy: 1.599 eV/atom.

---

Computed, not measured: crystalline SbW4Se8 at its relaxed geometry at the PBE-GGA level of DFT.

```
13
Lattice="-6.3187 1.0685 -1.6752 1.4742 -2.4375 5.9799 4.2376 8.0077 2.2196" Properties=species:S:1:pos:R:3 pbc="T T T"
Se -4.1743 0.8718 3.2060
Se 1.1618 5.0871 5.4558
Se -4.9063 2.0821 0.2366
Se 3.5674 5.7669 3.3182
W 0.7371 -1.2187 2.9899
Se -1.7687 1.5516 1.0685
W -2.4222 -0.6845 2.1524
Se -1.0191 0.3286 4.0536
Se 0.4122 6.3101 2.4706
Sb 2.8559 2.7851 4.0997
W 0.0000 0.0000 0.0000
Se 4.2994 4.5565 6.2876
W -3.1593 0.5342 -0.8376
```

Values from the calculation:
The value obtained for the total moment is 0.12 μB/atom. The value obtained for the total energy is -85.470 eV per cell. As for the density of states at the Fermi level: 8.335 states/eV/cell. As for the space-group type: R-3m, No. 166. As for the uncorrected formation energy: -0.128 eV/atom.